Below is a relaxed AlSb2P crystal, with properties calculated at the PBE-GGA level.

Properties
total DFT energy (no corrections)	-3.990	eV/atom
magnetic moment	0.00	μB per cell
energy above the lowest structure with this stoichiometry	386	meV/atom
E_form (uncorrected)	0.36	eV per atom

a = 3.5138 Å, b = 3.5138 Å, c = 6.9688 Å
α = 90.00°, β = 90.00°, γ = 90.00°
Last column: nearest neighbours and their distance in Å.
Space group P4/mmm (No. 123)
Inequivalent atoms, fractional coordinates:
Al: 0.0000 0.0000 0.0000 (multiplicity 1)  8 Sb 3.09
Sb: 0.5000 0.5000 0.2626 (multiplicity 2)  4 P 2.98, 4 Al 3.09, 1 Sb 3.31
P: 0.0000 0.0000 0.5000 (multiplicity 1)  8 Sb 2.98